Density functional theory data (PBE) for TlZn2Cr after structural relaxation.

The space group is I-4m2 (No. 119) and the conventional cell measures 4.136, 4.136 and 8.294 Å, with angles of 90.00, 90.00 and 90.00 degrees. The distinct sites, in fractional coordinates, are Tl at (0.000, 0.000, 0.000), Zn at (0.000, 0.000, 0.500), Zn at (0.000, 0.500, 0.250) and Cr at (0.000, 0.500, 0.750).

The excess energy over the best structure of this formula in the dataset comes out at 0.0288 eV/atom. As for the calculated formation energy: 0.35 eV/atom.



Density functional theory data (PBE) for Ca2PdPb after structural relaxation.

The space group is R-3m (No. 166, hexagonal axes) and the conventional cell measures 3.9189, 3.9189 and 26.0867 Å, with angles of 90.00, 90.00 and 120.00 degrees. The distinct sites, in fractional coordinates, are Ca at (0.0000, 0.0000, 0.2357), Pd at (0.0000, 0.0000, 0.5000) and Pb at (0.0000, 0.0000, 0.0000).

As for the calculated formation energy: -0.47 eV/atom.



Density functional theory data (PBE) for PrMg2Zn2 after structural relaxation.

The space group is Cmc2_1 (No. 36) and the conventional cell measures 4.205, 13.025 and 8.312 Å, with angles of 90.00, 90.00 and 90.00 degrees. The distinct sites, in fractional coordinates, are Pr at (0.000, 0.086, 0.000), Mg at (0.000, 0.190, 0.605), Mg at (0.000, 0.379, 0.855), Zn at (0.000, 0.261, 0.302) and Zn at (0.000, 0.443, 0.186).

The excess energy over the best structure of this formula in the dataset comes out at 0.0175 eV/atom. As for the calculated formation energy: -0.22 eV/atom.



Density functional theory data (PBE) for MnZn2In after structural relaxation.

The space group is Pm (No. 6) and the conventional cell measures 3.079, 3.788 and 5.765 Å, with angles of 90.00, 90.10 and 90.00 degrees. The distinct sites, in fractional coordinates, are Mn at (0.000, 0.000, 0.000), Zn at (0.001, 0.000, 0.545), Zn at (0.500, 0.500, 0.770) and In at (0.501, 0.500, 0.259).

As for the calculated formation energy: 0.16 eV/atom.



Density functional theory data (PBE) for CaCuRh2 after structural relaxation.

The space group is Cmmm (No. 65) and the conventional cell measures 5.727, 7.564 and 2.977 Å, with angles of 90.00, 90.00 and 90.00 degrees. The distinct sites, in fractional coordinates, are Ca at (0.000, 0.000, 0.000), Cu at (0.000, 0.500, 0.000) and Rh at (0.250, 0.250, 0.500).

The excess energy over the best structure of this formula in the dataset comes out at 0.0989 eV/atom. As for the calculated formation energy: 0.06 eV/atom.



Density functional theory data (PBE) for Tb3Nd3Er2 after structural relaxation.

The space group is C2/m (No. 12) and the conventional cell measures 16.400, 5.743 and 6.014 Å, with angles of 90.00, 110.66 and 90.00 degrees. The distinct sites, in fractional coordinates, are Tb at (0.000, 0.000, 0.000), Tb at (0.133, 0.000, 0.581), Nd at (0.000, 0.500, 0.500), Nd at (0.135, 0.500, 0.196) and Er at (0.250, 0.000, 0.182).

As for the calculated formation energy: 0.08 eV/atom.



Q: What is the calculated formation energy in the third record?
A: -0.22 eV/atom